No. 1
V32N3 | PBE | relaxed

Lattice parameters (Å, degrees): 8.679 2.984 17.332 90.00 90.86 90.00
Atoms (fractional coordinates):
V: 0.108 0.000 0.305
V: 0.113 0.500 0.436
V: 0.121 0.000 0.810
V: 0.127 0.500 0.939
V: 0.129 0.000 0.055
V: 0.129 0.000 0.558
V: 0.148 0.500 0.170
V: 0.163 0.500 0.674
V: 0.340 0.000 0.421
V: 0.370 0.500 0.306
V: 0.372 0.000 0.935
V: 0.380 0.500 0.814
V: 0.383 0.000 0.183
V: 0.383 0.500 0.058
V: 0.389 0.500 0.557
V: 0.391 0.000 0.688
V: 0.609 0.000 0.312
V: 0.611 0.500 0.443
V: 0.617 0.000 0.817
V: 0.617 0.500 0.942
V: 0.620 0.500 0.186
V: 0.628 0.000 0.065
V: 0.630 0.500 0.694
V: 0.660 0.000 0.579
V: 0.837 0.500 0.326
V: 0.852 0.500 0.830
V: 0.871 0.000 0.442
V: 0.871 0.000 0.945
V: 0.873 0.500 0.061
V: 0.879 0.000 0.190
V: 0.887 0.500 0.564
V: 0.892 0.000 0.695
N: 0.007 0.500 0.752
N: 0.500 0.000 0.500
N: 0.993 0.500 0.248

## Properties
raw formation energy: -0.2525 eV per atom

No. 2
Ba3LiIn2S6 | PBE | relaxed

Lattice parameters (Å, degrees): 7.422 7.422 7.717 90.00 90.00 120.00
Atoms (fractional coordinates):
Ba: 0.000 0.000 0.000
Ba: 0.333 0.667 0.617
Ba: 0.667 0.333 0.383
Li: 0.000 0.000 0.500
In: 0.333 0.667 0.156
In: 0.667 0.333 0.844
S: 0.164 0.328 0.300
S: 0.164 0.836 0.300
S: 0.328 0.164 0.700
S: 0.672 0.836 0.300
S: 0.836 0.164 0.700
S: 0.836 0.672 0.700

## Properties
raw formation energy: -1.1483 eV per atom

No. 3
InReSi2 | PBE | relaxed

Lattice parameters (Å, degrees): 8.463 8.463 8.463 21.28 21.28 21.28
Atoms (fractional coordinates):
In: 0.000 0.000 0.000
Re: 0.500 0.500 0.500
Si: 0.236 0.236 0.236
Si: 0.764 0.764 0.764

## Properties
raw formation energy: 0.2160 eV per atom

No. 4
SrAgOs | PBE | relaxed

Lattice parameters (Å, degrees): 5.920 5.920 5.920 144.86 144.86 50.54
Atoms (fractional coordinates):
Sr: 0.000 0.000 0.000
Ag: 0.289 0.289 0.000
Os: 0.702 0.702 0.000

## Properties
energy of formation: 784 meV per atom
energy relative to the lowest polymorph listed for this composition: 65 meV/atom

No. 5
TaVCo | PBE | relaxed

Lattice parameters (Å, degrees): 7.924 4.931 4.931 59.90 90.00 90.00
Atoms (fractional coordinates):
Ta: 0.182 0.000 0.000
Ta: 0.307 0.670 0.670
Ta: 0.693 0.670 0.670
Ta: 0.818 0.000 0.000
V: 0.236 0.334 0.334
V: 0.500 0.172 0.685
V: 0.500 0.685 0.172
V: 0.764 0.334 0.334
Co: 0.000 0.509 0.993
Co: 0.000 0.511 0.511
Co: 0.000 0.993 0.509
Co: 0.500 0.174 0.174

## Properties
energy of formation: -231 meV per atom
energy relative to the lowest polymorph listed for this composition: 0 meV/atom

No. 6
DyErH | PBE | relaxed

Lattice parameters (Å, degrees): 3.598 3.598 5.535 90.00 90.00 120.00
Atoms (fractional coordinates):
Dy: 0.000 0.000 0.000
Er: 0.667 0.333 0.510
H: 0.333 0.667 0.753

## Properties
energy relative to the lowest polymorph listed for this composition: 0 meV/atom

No. 7
ScZnSi3 | PBE | relaxed

Lattice parameters (Å, degrees): 5.053 5.053 5.053 90.00 90.00 90.00
Atoms (fractional coordinates):
Sc: 0.000 0.000 0.000
Zn: 0.500 0.500 0.500
Si: 0.000 0.000 0.500
Si: 0.000 0.500 0.000
Si: 0.500 0.000 0.000

## Properties
raw formation energy: 0.9861 eV per atom

No. 8
InSn4Ir | PBE | relaxed

Lattice parameters (Å, degrees): 9.425 9.425 5.254 105.56 105.56 125.71
Atoms (fractional coordinates):
In: 0.108 0.892 0.750
In: 0.892 0.108 0.250
Sn: 0.128 0.556 0.832
Sn: 0.234 0.328 0.057
Sn: 0.328 0.234 0.557
Sn: 0.444 0.872 0.668
Sn: 0.556 0.128 0.332
Sn: 0.672 0.766 0.443
Sn: 0.766 0.672 0.943
Sn: 0.872 0.444 0.168
Ir: 0.163 0.837 0.250
Ir: 0.837 0.163 0.750

## Properties
energy of formation: -107 meV per atom
energy relative to the lowest polymorph listed for this composition: 0 meV/atom

No. 9
LiHo5Mg4 | PBE | relaxed

Lattice parameters (Å, degrees): 3.761 3.761 18.800 90.00 90.00 90.00
Atoms (fractional coordinates):
Li: 0.000 0.000 0.000
Ho: 0.500 0.500 0.099
Ho: 0.500 0.500 0.298
Ho: 0.500 0.500 0.500
Ho: 0.500 0.500 0.702
Ho: 0.500 0.500 0.901
Mg: 0.000 0.000 0.199
Mg: 0.000 0.000 0.399
Mg: 0.000 0.000 0.601
Mg: 0.000 0.000 0.801

## Properties
energy of formation: -29 meV per atom

No. 10
Si2BrCl | PBE | relaxed

Lattice parameters (Å, degrees): 5.540 5.540 5.540 145.29 117.27 73.73
Atoms (fractional coordinates):
Si: 0.245 0.245 0.000
Si: 0.755 0.755 0.000
Br: 0.500 0.000 0.500
Cl: 0.000 0.500 0.500

## Properties
raw formation energy: 0.3939 eV per atom
energy relative to the lowest polymorph listed for this composition: 753 meV/atom

No. 11
Rb2GaAu3 | PBE | relaxed

Lattice parameters (Å, degrees): 7.818 7.818 7.818 145.42 133.30 59.39
Atoms (fractional coordinates):
Rb: 0.187 0.187 0.000
Rb: 0.813 0.813 0.000
Ga: 0.500 0.500 0.000
Au: 0.000 0.500 0.500
Au: 0.396 0.896 0.500
Au: 0.604 0.104 0.500

## Properties
energy of formation: -107 meV per atom

No. 12
AsOsCl2 | PBE | relaxed

Lattice parameters (Å, degrees): 4.923 4.923 4.923 128.22 128.22 76.26
Atoms (fractional coordinates):
As: 0.000 0.000 0.000
Os: 0.500 0.500 0.000
Cl: 0.250 0.750 0.500
Cl: 0.750 0.250 0.500

## Properties
raw formation energy: 1.2809 eV per atom
energy relative to the lowest polymorph listed for this composition: 1355 meV/atom

No. 13
La7In2Pb2 | PBE | relaxed

Lattice parameters (Å, degrees): 7.336 7.336 7.750 90.00 90.00 107.47
Atoms (fractional coordinates):
La: 0.000 0.000 0.000
La: 0.000 0.500 0.304
La: 0.000 0.500 0.696
La: 0.500 0.000 0.304
La: 0.500 0.000 0.696
La: 0.500 0.500 0.274
La: 0.500 0.500 0.726
In: 0.164 0.164 0.500
In: 0.836 0.836 0.500
Pb: 0.285 0.715 0.000
Pb: 0.715 0.285 0.000

## Properties
energy of formation: -243 meV per atom

No. 14
MgSc2B2Os5 | PBE | relaxed

Lattice parameters (Å, degrees): 9.541 9.541 3.047 90.00 90.00 90.00
Atoms (fractional coordinates):
Mg: 0.000 0.000 0.000
Mg: 0.500 0.500 0.000
Sc: 0.178 0.322 0.000
Sc: 0.322 0.822 0.000
Sc: 0.678 0.178 0.000
Sc: 0.822 0.678 0.000
B: 0.125 0.625 0.000
B: 0.375 0.125 0.000
B: 0.625 0.875 0.000
B: 0.875 0.375 0.000
Os: 0.000 0.500 0.500
Os: 0.068 0.779 0.500
Os: 0.221 0.068 0.500
Os: 0.279 0.568 0.500
Os: 0.432 0.279 0.500
Os: 0.500 0.000 0.500
Os: 0.568 0.721 0.500
Os: 0.721 0.432 0.500
Os: 0.779 0.932 0.500
Os: 0.932 0.221 0.500

## Properties
energy of formation: -231 meV per atom

No. 15
Sc2TiCo2 | PBE | relaxed

Lattice parameters (Å, degrees): 5.278 5.278 5.278 138.46 119.60 75.97
Atoms (fractional coordinates):
Sc: 0.204 0.204 0.000
Sc: 0.796 0.796 0.000
Ti: 0.500 0.000 0.500
Co: 0.220 0.500 0.720
Co: 0.780 0.500 0.280

## Properties
energy of formation: -320 meV per atom
energy relative to the lowest polymorph listed for this composition: 0 meV/atom

No. 16
TlTcMo2 | PBE | relaxed

Lattice parameters (Å, degrees): 5.020 5.020 5.020 132.48 132.48 69.47
Atoms (fractional coordinates):
Tl: 0.000 0.000 0.000
Tc: 0.750 0.250 0.500
Mo: 0.250 0.750 0.500
Mo: 0.500 0.500 0.000

## Properties
energy of formation: 586 meV per atom
energy relative to the lowest polymorph listed for this composition: 171 meV/atom

No. 17
MgTiTc2 | PBE | relaxed

Lattice parameters (Å, degrees): 9.727 9.727 9.727 156.63 156.63 33.28
Atoms (fractional coordinates):
Mg: 0.000 0.000 0.000
Mg: 0.750 0.250 0.500
Ti: 0.250 0.750 0.500
Ti: 0.500 0.500 0.000
Tc: 0.201 0.625 0.076
Tc: 0.375 0.451 0.576
Tc: 0.549 0.125 0.924
Tc: 0.875 0.799 0.424

## Properties
energy of formation: 587 meV per atom

No. 18
YZrHg2Te | PBE | relaxed

Lattice parameters (Å, degrees): 5.468 5.468 5.744 90.00 90.00 90.00
Atoms (fractional coordinates):
Y: 0.000 0.000 0.000
Zr: 0.000 0.000 0.500
Hg: 0.000 0.500 0.500
Hg: 0.500 0.000 0.500
Te: 0.500 0.500 0.000

## Properties
raw formation energy: 0.5095 eV per atom

No. 19
SrIn5 | PBE | relaxed

Lattice parameters (Å, degrees): 3.694 3.694 12.757 90.00 90.00 90.00
Atoms (fractional coordinates):
Sr: 0.000 0.000 0.000
In: 0.000 0.000 0.336
In: 0.000 0.000 0.664
In: 0.500 0.500 0.185
In: 0.500 0.500 0.500
In: 0.500 0.500 0.815

## Properties
energy of formation: -109 meV per atom
energy relative to the lowest polymorph listed for this composition: 109 meV/atom

No. 20
KCaTa | PBE | relaxed

Lattice parameters (Å, degrees): 14.187 5.594 5.753 90.00 90.00 90.00
Atoms (fractional coordinates):
K: 0.235 0.250 0.013
K: 0.265 0.750 0.513
K: 0.735 0.250 0.487
K: 0.765 0.750 0.987
Ca: 0.000 0.000 0.500
Ca: 0.000 0.500 0.500
Ca: 0.500 0.000 0.000
Ca: 0.500 0.500 0.000
Ta: 0.013 0.750 0.000
Ta: 0.487 0.250 0.500
Ta: 0.513 0.750 0.500
Ta: 0.987 0.250 0.000

## Properties
energy of formation: 1188 meV per atom
energy relative to the lowest polymorph listed for this composition: 855 meV/atom

Table of raw total energy (eV per formula unit), in record order: -325.610; -51.704; -25.169; -13.412; -28.770; -13.252; -18.944; -28.252; -31.467; -12.790; -15.438; -14.449; -50.063; -86.069; -36.370; -32.052; -27.873; -16.210; -16.027; -11.389